# 1
# ThNi4Te

A geometry-optimized ThNi4Te structure (PBE, Alexandria via LeMat-Bulk).

Symmetry: F-43m
V, Å³ per atom: 15.9
Calculated total energy, eV/atom: -5.8888
Uncorrected formation energy, kJ per mole of atoms: -26.5

Cell and atoms, written as CIF:
```
data_ThNi4Te
_cell_length_a 5.1326
_cell_length_b 5.1326
_cell_length_c 5.1326
_cell_angle_alpha 60.00
_cell_angle_beta 60.00
_cell_angle_gamma 60.00
_space_group_name_H-M_alt 'P 1'
_space_group_IT_number 1
_space_group_name_Hall 'P 1'
loop_
_atom_site_label
_atom_site_fract_x
_atom_site_fract_y
_atom_site_fract_z
_atom_site_occupancy
Th1 0.0000 0.0000 0.0000 1
Ni1 0.1250 0.6250 0.6250 1
Ni2 0.6250 0.1250 0.6250 1
Ni3 0.6250 0.6250 0.1250 1
Ni4 0.6250 0.6250 0.6250 1
Te1 0.2500 0.2500 0.2500 1
```


# 2
# Cu2MoAu

A geometry-optimized Cu2MoAu structure (PBE, Alexandria via LeMat-Bulk).

Symmetry: I-4m2
Distance to the lowest polymorph of the same formula, eV per formula unit: 0.84
Energy relative to the elements, eV/atom: 0.348
V, Å³ per atom: 14.6
Calculated total energy, eV/atom: -5.2272

Cell and atoms, written as CIF:
```
data_Cu2MoAu
_cell_length_a 4.6521
_cell_length_b 4.6521
_cell_length_c 4.6521
_cell_angle_alpha 129.45
_cell_angle_beta 129.45
_cell_angle_gamma 74.30
_space_group_name_H-M_alt 'P 1'
_space_group_IT_number 1
_space_group_name_Hall 'P 1'
loop_
_atom_site_label
_atom_site_fract_x
_atom_site_fract_y
_atom_site_fract_z
_atom_site_occupancy
Cu1 0.0000 0.0000 0.0000 1
Cu2 0.7500 0.2500 0.5000 1
Mo1 0.2500 0.7500 0.5000 1
Au1 0.5000 0.5000 0.0000 1
```


# 3
# KIrW2

A geometry-optimized KIrW2 structure (PBE, Alexandria via LeMat-Bulk).

Symmetry: P2/m
Distance to the lowest polymorph of the same formula, eV per formula unit: 0.65
Energy relative to the elements, eV/atom: 0.816
V, Å³ per atom: 22.7
Calculated total energy, eV/atom: -8.1507

Cell and atoms, written as CIF:
```
data_KIrW2
_cell_length_a 2.7412
_cell_length_b 4.0036
_cell_length_c 8.2791
_cell_angle_alpha 90.00
_cell_angle_beta 93.33
_cell_angle_gamma 90.00
_space_group_name_H-M_alt 'P 1'
_space_group_IT_number 1
_space_group_name_Hall 'P 1'
loop_
_atom_site_label
_atom_site_fract_x
_atom_site_fract_y
_atom_site_fract_z
_atom_site_occupancy
K1 0.0000 0.0000 0.0000 1
Ir1 0.5000 0.0000 0.5000 1
W1 0.0230 0.5000 0.6509 1
W2 0.9770 0.5000 0.3491 1
```


# 4
# VSn3Ir

A geometry-optimized VSn3Ir structure (PBE, Alexandria via LeMat-Bulk).

Symmetry: Pm-3m
Distance to the lowest polymorph of the same formula, eV per formula unit: 0.00
Energy relative to the elements, eV/atom: 0.663
V, Å³ per atom: 27.0
Calculated total energy, eV/atom: -5.3349

Cell and atoms, written as CIF:
```
data_VSn3Ir
_cell_length_a 5.1314
_cell_length_b 5.1314
_cell_length_c 5.1314
_cell_angle_alpha 90.00
_cell_angle_beta 90.00
_cell_angle_gamma 90.00
_space_group_name_H-M_alt 'P 1'
_space_group_IT_number 1
_space_group_name_Hall 'P 1'
loop_
_atom_site_label
_atom_site_fract_x
_atom_site_fract_y
_atom_site_fract_z
_atom_site_occupancy
V1 0.0000 0.0000 0.0000 1
Sn1 0.0000 0.5000 0.5000 1
Sn2 0.5000 0.0000 0.5000 1
Sn3 0.5000 0.5000 0.0000 1
Ir1 0.5000 0.5000 0.5000 1
```


# 5
# Li4ZnRh2

A geometry-optimized Li4ZnRh2 structure (PBE, Alexandria via LeMat-Bulk).

Symmetry: I4/mmm
Distance to the lowest polymorph of the same formula, eV per formula unit: 1.19
Energy relative to the elements, eV/atom: -0.043
V, Å³ per atom: 14.4
Calculated total energy, eV/atom: -3.4187

Cell and atoms, written as CIF:
```
data_Li4ZnRh2
_cell_length_a 5.2516
_cell_length_b 5.2516
_cell_length_c 5.2516
_cell_angle_alpha 121.13
_cell_angle_beta 121.13
_cell_angle_gamma 88.05
_space_group_name_H-M_alt 'P 1'
_space_group_IT_number 1
_space_group_name_Hall 'P 1'
loop_
_atom_site_label
_atom_site_fract_x
_atom_site_fract_y
_atom_site_fract_z
_atom_site_occupancy
Li1 0.0000 0.0000 0.5000 1
Li2 0.0000 0.5000 0.0000 1
Li3 0.5000 0.0000 0.0000 1
Li4 0.5000 0.5000 0.5000 1
Zn1 0.0000 0.0000 0.0000 1
Rh1 0.0000 0.5000 0.5000 1
Rh2 0.5000 0.0000 0.5000 1
```


# 6
# Pr2ThTe4

A geometry-optimized Pr2ThTe4 structure (PBE, Alexandria via LeMat-Bulk).

Symmetry: Cmcm
Distance to the lowest polymorph of the same formula, eV per formula unit: 0.49
V, Å³ per atom: 35.4
Calculated total energy, eV/atom: -5.4989
Uncorrected formation energy, kJ per mole of atoms: -123.3

Cell and atoms, written as CIF:
```
data_Pr2ThTe4
_cell_length_a 7.7255
_cell_length_b 7.7255
_cell_length_c 15.3108
_cell_angle_alpha 90.00
_cell_angle_beta 90.00
_cell_angle_gamma 147.18
_space_group_name_H-M_alt 'P 1'
_space_group_IT_number 1
_space_group_name_Hall 'P 1'
loop_
_atom_site_label
_atom_site_fract_x
_atom_site_fract_y
_atom_site_fract_z
_atom_site_occupancy
Pr1 0.1366 0.8634 0.5677 1
Pr2 0.1366 0.8634 0.9323 1
Pr3 0.8634 0.1366 0.0677 1
Pr4 0.8634 0.1366 0.4323 1
Th1 0.3739 0.6261 0.7500 1
Th2 0.6261 0.3739 0.2500 1
Te1 0.0295 0.9705 0.7500 1
Te2 0.2186 0.7814 0.1276 1
Te3 0.2186 0.7814 0.3724 1
Te4 0.5000 0.5000 0.0000 1
Te5 0.5000 0.5000 0.5000 1
Te6 0.7814 0.2186 0.6276 1
Te7 0.7814 0.2186 0.8724 1
Te8 0.9705 0.0295 0.2500 1
```


# 7
# Nd4OsCBr2

A geometry-optimized Nd4OsCBr2 structure (PBE, Alexandria via LeMat-Bulk).

Symmetry: P2/m
V, Å³ per atom: 26.7
Calculated total energy, eV/atom: -6.0873
Uncorrected formation energy, kJ per mole of atoms: -70.3

Cell and atoms, written as CIF:
```
data_Nd4OsCBr2
_cell_length_a 7.0098
_cell_length_b 3.9995
_cell_length_c 7.9208
_cell_angle_alpha 90.00
_cell_angle_beta 105.81
_cell_angle_gamma 90.00
_space_group_name_H-M_alt 'P 1'
_space_group_IT_number 1
_space_group_name_Hall 'P 1'
loop_
_atom_site_label
_atom_site_fract_x
_atom_site_fract_y
_atom_site_fract_z
_atom_site_occupancy
Nd1 0.2217 0.0000 0.1792 1
Nd2 0.2419 0.5000 0.8080 1
Nd3 0.7581 0.5000 0.1920 1
Nd4 0.7783 0.0000 0.8208 1
Os1 0.5000 0.0000 0.0000 1
C1 0.0000 0.5000 0.0000 1
Br1 0.0000 0.0000 0.5000 1
Br2 0.5000 0.5000 0.5000 1
```


# 8
# Zn2BiRh2

A geometry-optimized Zn2BiRh2 structure (PBE, Alexandria via LeMat-Bulk).

Symmetry: P4/mbm
Distance to the lowest polymorph of the same formula, eV per formula unit: 0.21
Energy relative to the elements, eV/atom: -0.106
V, Å³ per atom: 16.8
Calculated total energy, eV/atom: -4.3321

Cell and atoms, written as CIF:
```
data_Zn2BiRh2
_cell_length_a 7.3815
_cell_length_b 7.3815
_cell_length_c 3.0871
_cell_angle_alpha 90.00
_cell_angle_beta 90.00
_cell_angle_gamma 90.00
_space_group_name_H-M_alt 'P 1'
_space_group_IT_number 1
_space_group_name_Hall 'P 1'
loop_
_atom_site_label
_atom_site_fract_x
_atom_site_fract_y
_atom_site_fract_z
_atom_site_occupancy
Zn1 0.1228 0.3772 0.0000 1
Zn2 0.3772 0.8772 0.0000 1
Zn3 0.6228 0.1228 0.0000 1
Zn4 0.8772 0.6228 0.0000 1
Bi1 0.0000 0.0000 0.0000 1
Bi2 0.5000 0.5000 0.0000 1
Rh1 0.1689 0.6689 0.5000 1
Rh2 0.3311 0.1689 0.5000 1
Rh3 0.6689 0.8311 0.5000 1
Rh4 0.8311 0.3311 0.5000 1
```


# 9
# CaV2Os

A geometry-optimized CaV2Os structure (PBE, Alexandria via LeMat-Bulk).

Symmetry: R3m
Distance to the lowest polymorph of the same formula, eV per formula unit: 0.19
Energy relative to the elements, eV/atom: 0.051
V, Å³ per atom: 22.3
Calculated total energy, eV/atom: -7.8158

Cell and atoms, written as CIF:
```
data_CaV2Os
_cell_length_a 11.4554
_cell_length_b 11.4554
_cell_length_c 11.4554
_cell_angle_alpha 21.61
_cell_angle_beta 21.61
_cell_angle_gamma 21.61
_space_group_name_H-M_alt 'P 1'
_space_group_IT_number 1
_space_group_name_Hall 'P 1'
loop_
_atom_site_label
_atom_site_fract_x
_atom_site_fract_y
_atom_site_fract_z
_atom_site_occupancy
Ca1 0.0000 0.0000 0.0000 1
Ca2 0.4316 0.4316 0.4316 1
V1 0.2030 0.2030 0.2030 1
V2 0.5951 0.5951 0.5951 1
V3 0.8342 0.8342 0.8342 1
V4 0.9037 0.9037 0.9037 1
Os1 0.2750 0.2750 0.2750 1
Os2 0.5193 0.5193 0.5193 1
```


# 10
# NbFe3Si

A geometry-optimized NbFe3Si structure (PBE, Alexandria via LeMat-Bulk).

Symmetry: Pm-3m
Distance to the lowest polymorph of the same formula, eV per formula unit: 9.80
V, Å³ per atom: 17.4
Calculated total energy, eV/atom: -6.3505
Uncorrected formation energy, kJ per mole of atoms: 176.2

Cell and atoms, written as CIF:
```
data_NbFe3Si
_cell_length_a 4.4315
_cell_length_b 4.4315
_cell_length_c 4.4315
_cell_angle_alpha 90.00
_cell_angle_beta 90.00
_cell_angle_gamma 90.00
_space_group_name_H-M_alt 'P 1'
_space_group_IT_number 1
_space_group_name_Hall 'P 1'
loop_
_atom_site_label
_atom_site_fract_x
_atom_site_fract_y
_atom_site_fract_z
_atom_site_occupancy
Nb1 0.0000 0.0000 0.0000 1
Fe1 0.0000 0.0000 0.5000 1
Fe2 0.0000 0.5000 0.0000 1
Fe3 0.5000 0.0000 0.0000 1
Si1 0.5000 0.5000 0.5000 1
```


# 11
# CoGe2W

A geometry-optimized CoGe2W structure (PBE, Alexandria via LeMat-Bulk).

Symmetry: Fm-3m
Distance to the lowest polymorph of the same formula, eV per formula unit: 0.00
Energy relative to the elements, eV/atom: 0.269
V, Å³ per atom: 14.1
Calculated total energy, eV/atom: -7.0544

Cell and atoms, written as CIF:
```
data_CoGe2W
_cell_length_a 4.3046
_cell_length_b 4.3046
_cell_length_c 4.3046
_cell_angle_alpha 60.00
_cell_angle_beta 60.00
_cell_angle_gamma 60.00
_space_group_name_H-M_alt 'P 1'
_space_group_IT_number 1
_space_group_name_Hall 'P 1'
loop_
_atom_site_label
_atom_site_fract_x
_atom_site_fract_y
_atom_site_fract_z
_atom_site_occupancy
Co1 0.0000 0.0000 0.0000 1
Ge1 0.2500 0.2500 0.2500 1
Ge2 0.7500 0.7500 0.7500 1
W1 0.5000 0.5000 0.5000 1
```


# 12
# Ho2CuRuC

A geometry-optimized Ho2CuRuC structure (PBE, Alexandria via LeMat-Bulk).

Symmetry: P4/mmm
Energy relative to the elements, eV/atom: -0.319
V, Å³ per atom: 18.6
Calculated total energy, eV/atom: -6.6691

Cell and atoms, written as CIF:
```
data_Ho2CuRuC
_cell_length_a 4.9044
_cell_length_b 4.9044
_cell_length_c 3.8570
_cell_angle_alpha 90.00
_cell_angle_beta 90.00
_cell_angle_gamma 90.00
_space_group_name_H-M_alt 'P 1'
_space_group_IT_number 1
_space_group_name_Hall 'P 1'
loop_
_atom_site_label
_atom_site_fract_x
_atom_site_fract_y
_atom_site_fract_z
_atom_site_occupancy
Ho1 0.0000 0.5000 0.0000 1
Ho2 0.5000 0.0000 0.0000 1
Cu1 0.0000 0.0000 0.5000 1
Ru1 0.5000 0.5000 0.5000 1
C1 0.5000 0.5000 0.0000 1
```